# 1
Below is an optimized crystal structure of SrY2Mo, with properties calculated at the GGA-PBE level.

a b c (Å): 5.184 3.553 7.029
angles (deg): 75.31 90.00 90.00
Site moments in Bohr magnetons follow the coordinates.
Fractional positions:
Y: 0.500 0.426 0.274  -0.06
Y: 0.000 0.025 0.076  -0.05
Sr: 0.500 0.704 0.716  -0.01
Mo: 0.000 0.344 0.435  0.70

Computed properties:
final energy	-5.803	eV/atom
symmetry	No. 6



# 2
Below is an optimized crystal structure of SrYMo2, with properties calculated at the GGA-PBE level.

a b c (Å): 10.373 10.373 10.373
angles (deg): 18.91 18.91 18.91
Fractional positions:
Y: 0.731 0.731 0.731
Mo: 0.268 0.268 0.268
Mo: 0.987 0.987 0.987
Sr: 0.514 0.514 0.514

Computed properties:
final energy	-6.824	eV/atom
symmetry	No. 160



# 3
Below is an optimized crystal structure of SrYMo2, with properties calculated at the GGA-PBE level.

a b c (Å): 8.192 8.192 6.469
angles (deg): 50.72 50.72 90.00
Fractional positions:
Sr: 0.500 0.500 0.000
Sr: 0.250 0.750 0.500
Mo: 0.636 0.125 0.250
Mo: 0.114 0.625 0.250
Mo: 0.875 0.886 0.750
Mo: 0.375 0.364 0.750
Y: 0.750 0.250 0.500
Y: 0.000 0.000 0.000

Computed properties:
final energy	-5.994	eV/atom
symmetry	No. 122



# 4
Below is an optimized crystal structure of SrYMo2, with properties calculated at the GGA-PBE level.

a b c (Å): 10.621 10.621 10.621
angles (deg): 17.09 17.09 17.09
Fractional positions:
Mo: 0.496 0.496 0.496
Mo: 0.004 0.004 0.004
Y: 0.750 0.750 0.750
Sr: 0.250 0.250 0.250

Computed properties:
final energy	-6.362	eV/atom
symmetry	No. 166



# 5
Below is an optimized crystal structure of SrYMo2, with properties calculated at the GGA-PBE level.

a b c (Å): 3.347 3.346 9.654
angles (deg): 69.82 90.00 90.00
Fractional positions:
Y: 0.500 0.669 0.828
Mo: 0.500 0.321 0.180
Mo: 0.000 0.953 0.045
Sr: 0.000 0.558 0.446

Computed properties:
final energy	-7.079	eV/atom
symmetry	No. 6



# 6
Below is an optimized crystal structure of SrY2Mo, with properties calculated at the GGA-PBE level.

a b c (Å): 5.347 5.347 5.347
angles (deg): 60.00 60.00 60.00
Fractional positions:
Y: 0.750 0.750 0.750
Y: 0.250 0.250 0.250
Sr: 0.000 0.000 0.000
Mo: 0.500 0.500 0.500

Computed properties:
final energy	-5.761	eV/atom
symmetry	No. 225



# 7
Below is an optimized crystal structure of SrYMo2, with properties calculated at the GGA-PBE level.

a b c (Å): 5.182 5.182 5.182
angles (deg): 60.00 60.00 60.00
Site moments in Bohr magnetons follow the coordinates.
Fractional positions:
Sr: 0.000 0.000 0.000  0.09
Mo: 0.250 0.250 0.250  1.97
Mo: 0.750 0.750 0.750  1.97
Y: 0.500 0.500 0.500  0.14

Computed properties:
final energy	-6.283	eV/atom
symmetry	No. 225



# 8
Below is an optimized crystal structure of SrY2Mo, with properties calculated at the GGA-PBE level.

a b c (Å): 3.328 6.093 6.654
angles (deg): 55.59 90.00 90.00
Fractional positions:
Y: 0.500 0.500 0.000
Y: 0.000 0.000 0.000
Mo: 0.500 0.500 0.500
Sr: 0.000 0.000 0.500

Computed properties:
final energy	-5.611	eV/atom
symmetry	No. 10



Number 1: total magnetic moment 0.5 μB per cell, volume 31.305 Å³/atom. Number 2: total magnetic moment 0.0 μB per cell, volume 25.616 Å³/atom. Number 3: total magnetic moment 0.0 μB per cell, volume 24.163 Å³/atom. Number 4: total magnetic moment 0.0 μB per cell, volume 22.579 Å³/atom. Number 5: total magnetic moment 0.0 μB per cell, volume 25.372 Å³/atom. Number 6: total magnetic moment 0.0 μB per cell, volume 27.020 Å³/atom. Number 7: total magnetic moment 5.1 μB per cell, volume 24.592 Å³/atom. Number 8: total magnetic moment 0.0 μB per cell, volume 27.829 Å³/atom.